[1]
MgBOF2 at its PBEsol-relaxed geometry, computed with SCAN.

Structure (extended XYZ):
```
5
Lattice="4.286 0.000 0.000 0.000 4.286 0.000 0.000 0.000 2.682" Properties=species:S:1:pos:R:3 pbc="T T T"
Mg 0.000 0.000 0.000
B 2.143 2.143 1.341
O 2.143 2.143 0.000
F 0.000 2.143 1.341
F 2.143 0.000 1.341
```

M_tot	0.0	μB/cell
formation energy (no corrections)	-1.7197	eV per atom

---

[2]
Mg2BO3F at its PBEsol-relaxed geometry, computed with SCAN.

Structure (extended XYZ):
```
28
Lattice="9.368 0.000 0.000 0.000 3.100 0.000 0.000 0.000 9.418" Properties=species:S:1:pos:R:3 pbc="T T T"
Mg 0.947 0.775 1.705
Mg 1.258 0.775 5.377
Mg 3.426 2.325 0.668
Mg 3.736 2.325 6.414
Mg 5.631 0.775 3.004
Mg 5.942 0.775 8.749
Mg 8.110 2.325 4.041
Mg 8.420 2.325 7.713
B 1.629 0.775 8.196
B 3.054 2.325 3.487
B 6.313 0.775 5.931
B 7.738 2.325 1.222
O 0.275 0.775 8.069
O 2.238 0.775 0.032
O 2.265 2.325 2.339
O 2.419 0.775 7.048
O 2.446 2.325 4.741
O 4.409 2.325 3.360
O 4.958 0.775 6.058
O 6.922 0.775 4.677
O 6.948 2.325 2.370
O 7.103 0.775 7.079
O 7.129 2.325 9.386
O 9.093 2.325 1.349
F 0.076 0.775 3.673
F 4.607 2.325 8.382
F 4.760 0.775 1.036
F 9.291 2.325 5.745
```

M_tot	0.0	μB/cell
formation energy (no corrections)	-3.1288	eV per atom

---

[3]
Mg2BPtF at its PBEsol-relaxed geometry, computed with SCAN.

Structure (extended XYZ):
```
5
Lattice="4.606 0.000 0.000 0.000 4.606 0.000 0.000 0.000 3.845" Properties=species:S:1:pos:R:3 pbc="T T T"
Mg 0.000 2.303 0.000
Mg 2.303 0.000 0.000
B 0.000 0.000 0.000
Pt 0.000 0.000 1.923
F 2.303 2.303 1.923
```

M_tot	0.0	μB/cell
formation energy (no corrections)	-0.7791	eV per atom

---

[4]
MnBOF2 at its PBEsol-relaxed geometry, computed with SCAN.

Structure (extended XYZ):
```
5
Lattice="4.251 0.000 0.000 0.000 4.251 0.000 0.000 0.000 2.648" Properties=species:S:1:pos:R:3 pbc="T T T"
Mn 0.000 0.000 0.000
B 2.125 2.125 1.324
O 2.125 2.125 0.000
F 0.000 2.125 1.324
F 2.125 0.000 1.324
```

M_tot	4.5	μB/cell
formation energy (no corrections)	-1.5826	eV per atom

---

[5]
BNF8 at its PBEsol-relaxed geometry, computed with SCAN.

Structure (extended XYZ):
```
40
Lattice="5.137 0.000 0.000 0.000 9.845 0.000 0.000 0.000 9.644" Properties=species:S:1:pos:R:3 pbc="T T T"
B 0.511 0.104 2.411
B 0.511 4.819 7.233
B 4.626 5.026 2.411
B 4.626 9.741 7.233
N 2.437 2.461 0.000
N 2.437 2.461 4.822
N 2.700 7.384 0.000
N 2.700 7.384 4.822
F 0.904 5.012 2.411
F 0.904 9.755 7.233
F 0.952 1.446 2.411
F 0.952 3.477 7.233
F 0.986 5.474 6.080
F 0.986 5.474 8.386
F 0.986 9.293 1.258
F 0.986 9.293 3.564
F 1.668 1.569 5.437
F 1.668 1.569 9.029
F 1.668 3.354 0.615
F 1.668 3.354 4.207
F 1.934 6.759 0.889
F 1.934 6.759 3.933
F 1.934 8.009 5.711
F 1.934 8.009 8.755
F 3.204 1.836 0.889
F 3.204 1.836 3.933
F 3.204 3.086 5.711
F 3.204 3.086 8.755
F 3.469 6.491 5.437
F 3.469 6.491 9.029
F 3.469 8.276 0.615
F 3.469 8.276 4.207
F 4.151 0.551 6.080
F 4.151 0.551 8.386
F 4.151 4.371 1.258
F 4.151 4.371 3.564
F 4.186 6.368 2.411
F 4.186 8.399 7.233
F 4.234 0.090 2.411
F 4.234 4.832 7.233
```

M_tot	0.7	μB/cell
formation energy (no corrections)	-1.4678	eV per atom

---

[6]
NbBNF2 at its PBEsol-relaxed geometry, computed with SCAN.

Structure (extended XYZ):
```
5
Lattice="4.094 0.000 0.000 0.000 4.094 0.000 0.000 0.000 4.006" Properties=species:S:1:pos:R:3 pbc="T T T"
Nb 0.000 0.000 0.000
B 2.047 2.047 2.003
N 0.000 0.000 2.003
F 0.000 2.047 0.000
F 2.047 0.000 0.000
```

M_tot	1.0	μB/cell
formation energy (no corrections)	-0.4582	eV per atom

---

[7]
BPNF2 at its PBEsol-relaxed geometry, computed with SCAN.

Structure (extended XYZ):
```
5
Lattice="4.107 0.000 0.000 0.000 4.107 0.000 0.000 0.000 3.286" Properties=species:S:1:pos:R:3 pbc="T T T"
B 0.000 0.000 0.000
P 2.054 2.054 1.643
N 2.054 2.054 0.000
F 0.000 2.054 1.643
F 2.054 0.000 1.643
```

M_tot	0.0	μB/cell
formation energy (no corrections)	0.3398	eV per atom

---

[8]
BPbNF2 at its PBEsol-relaxed geometry, computed with SCAN.

Structure (extended XYZ):
```
5
Lattice="4.399 0.000 0.000 0.000 4.399 0.000 0.000 0.000 4.154" Properties=species:S:1:pos:R:3 pbc="T T T"
B 0.000 0.000 0.000
Pb 2.199 2.199 2.077
N 2.199 2.199 0.000
F 0.000 2.199 2.077
F 2.199 0.000 2.077
```

M_tot	0.3	μB/cell
formation energy (no corrections)	0.5552	eV per atom